Entry 1:
Material: MgAl3Se
Method: DFT, meta-GGA SCAN
State: single point on PBEsol structure

Cell: 4.9715 4.9715 4.9715 Å, 90.00 90.00 90.00°
Last column: nearest neighbours and their distance in Å.
Positions (direct):
Mg (0.0000, 0.0000, 0.0000)  12 Al 3.52
Al (0.0000, 0.5000, 0.5000)  2 Se 2.49
Al (0.5000, 0.0000, 0.5000)  2 Se 2.49
Al (0.5000, 0.5000, 0.0000)  2 Se 2.49
Se (0.5000, 0.5000, 0.5000)  6 Al 2.49

## Properties
For the formation energy without anion corrections, the calculation gives 0.585 eV per atom. Its space group is Pm-3m, No. 221.


Entry 2:
Material: Mg16Al12Si
Method: DFT, meta-GGA SCAN
State: single point on PBEsol structure

Cell: 8.9960 8.9960 8.9960 Å, 109.20 109.20 109.20°
Last column: nearest neighbours and their distance in Å.
Positions (direct):
Mg (0.0000, 0.0000, 0.0000)  1 Si 2.73
Mg (0.0052, 0.0052, 0.6559)  4 Mg 2.99-3.13, 6 Al 3.04-3.13
Mg (0.0052, 0.6559, 0.0052)  4 Mg 2.99-3.13, 6 Al 3.04-3.13
Mg (0.0063, 0.4078, 0.6854)  5 Al 2.86-3.09, 6 Mg 3.01-3.18
Mg (0.0063, 0.6854, 0.4078)  5 Al 2.86-3.09, 6 Mg 3.01-3.18
Mg (0.2992, 0.5877, 0.5877)  5 Al 2.92-3.08, 1 Si 3.01, 4 Mg 3.06-3.16
Mg (0.3202, 0.3202, 0.7219)  5 Al 2.94-3.10, 7 Mg 2.99-3.12
Mg (0.3202, 0.7219, 0.3202)  5 Al 2.94-3.10, 7 Mg 2.99-3.12
Mg (0.4078, 0.0063, 0.6854)  5 Al 2.86-3.09, 6 Mg 3.01-3.18
Mg (0.4078, 0.6854, 0.0063)  5 Al 2.86-3.09, 6 Mg 3.01-3.18
Mg (0.5877, 0.2992, 0.5877)  5 Al 2.92-3.08, 1 Si 3.01, 4 Mg 3.06-3.16
Mg (0.5877, 0.5877, 0.2992)  5 Al 2.92-3.08, 1 Si 3.01, 4 Mg 3.06-3.16
Mg (0.6559, 0.0052, 0.0052)  4 Mg 2.99-3.13, 6 Al 3.04-3.13
Mg (0.6854, 0.0063, 0.4078)  5 Al 2.86-3.09, 6 Mg 3.01-3.18
Mg (0.6854, 0.4078, 0.0063)  5 Al 2.86-3.09, 6 Mg 3.01-3.18
Mg (0.7219, 0.3202, 0.3202)  5 Al 2.94-3.10, 7 Mg 2.99-3.12
Al (0.0033, 0.1877, 0.3707)  3 Al 2.68-2.74, 3 Mg 2.86-2.98, 1 Si 2.88
Al (0.0033, 0.3707, 0.1877)  3 Al 2.68-2.74, 3 Mg 2.86-2.98, 1 Si 2.88
Al (0.1877, 0.0033, 0.3707)  3 Al 2.68-2.74, 3 Mg 2.86-2.98, 1 Si 2.88
Al (0.1877, 0.3707, 0.0033)  3 Al 2.68-2.74, 3 Mg 2.86-2.98, 1 Si 2.88
Al (0.1960, 0.8178, 0.8178)  3 Al 2.68-2.74, 2 Mg 2.94
Al (0.3707, 0.0033, 0.1877)  3 Al 2.68-2.74, 3 Mg 2.86-2.98, 1 Si 2.88
Al (0.3707, 0.1877, 0.0033)  3 Al 2.68-2.74, 3 Mg 2.86-2.98, 1 Si 2.88
Al (0.6460, 0.6460, 0.8349)  3 Al 2.68-2.77, 3 Mg 2.92-2.94
Al (0.6460, 0.8349, 0.6460)  3 Al 2.68-2.77, 3 Mg 2.92-2.94
Al (0.8178, 0.1960, 0.8178)  3 Al 2.68-2.74, 2 Mg 2.94
Al (0.8178, 0.8178, 0.1960)  3 Al 2.68-2.74, 2 Mg 2.94
Al (0.8349, 0.6460, 0.6460)  3 Al 2.68-2.77, 3 Mg 2.92-2.94
Si (0.2992, 0.2992, 0.2992)  4 Mg 2.73-3.01, 6 Al 2.88

## Properties
For the formation energy without anion corrections, the calculation gives 0.006 eV per atom. Its space group is R3m, No. 160.


Entry 3:
Material: MgAlSi2
Method: DFT, meta-GGA SCAN
State: single point on PBEsol structure

Cell: 2.8517 4.0762 5.5855 Å, 90.00 90.00 90.00°
Last column: nearest neighbours and their distance in Å.
Positions (direct):
Mg (0.0000, 0.0000, 0.0000)  6 Si 2.79-2.80, 2 Mg 2.85, 4 Al 2.98
Al (0.5000, 0.5000, 0.7065)  6 Si 2.67-2.92, 2 Al 2.85, 4 Mg 2.98
Si (0.0000, 0.0000, 0.4990)  4 Al 2.74, 2 Mg 2.79-2.80, 6 Si 2.85-2.91
Si (0.5000, 0.5000, 0.2290)  2 Al 2.67-2.92, 4 Mg 2.80, 6 Si 2.85-2.91

## Properties
For the formation energy without anion corrections, the calculation gives 0.297 eV per atom. Its space group is Pmm2, No. 25. For the energy above the most stable polymorph in this dataset, the calculation gives 0.16 eV per formula unit.